Ca3TbDy2S6: optimized geometry, PBE-GGA.

Output
Its space group is C2/m. The value obtained for the formation energy (no corrections) is -2.057 eV/atom. The value obtained for the volume is 264 Å³/cell.

Cell and atoms, written as CIF:
```
data_Ca3TbDy2S6
_chemical_formula_sum 'Ca3 Tb1 Dy2 S6'
_cell_length_a 6.825
_cell_length_b 6.825
_cell_length_c 6.934
_cell_angle_alpha 99.47
_cell_angle_beta 99.47
_cell_angle_gamma 119.95
_space_group_name_H-M_alt 'P 1'
_space_group_IT_number 1
_space_group_name_Hall 'P 1'
loop_
_atom_site_label
_atom_site_fract_x
_atom_site_fract_y
_atom_site_fract_z
_atom_site_occupancy
Ca1 0.166 0.834 0.500 1
S1 0.747 0.747 0.245 1
S2 0.918 0.584 0.755 1
Tb1 0.000 0.000 0.000 1
S3 0.082 0.416 0.245 1
S4 0.416 0.082 0.245 1
S5 0.584 0.918 0.755 1
S6 0.253 0.253 0.755 1
Ca2 0.834 0.166 0.500 1
Dy1 0.667 0.333 0.000 1
Dy2 0.333 0.667 0.000 1
Ca3 0.500 0.500 0.500 1
```

=====

Ca2TbDyS4: optimized geometry, PBE-GGA.

Output
Its space group is P2/m. The value obtained for the formation energy (no corrections) is -2.057 eV/atom. The value obtained for the volume is 176 Å³/cell.

Cell and atoms, written as CIF:
```
data_Ca2TbDyS4
_chemical_formula_sum 'Ca2 Tb1 Dy1 S4'
_cell_length_a 3.944
_cell_length_b 6.825
_cell_length_c 6.942
_cell_angle_alpha 109.17
_cell_angle_beta 90.00
_cell_angle_gamma 90.00
_space_group_name_H-M_alt 'P 1'
_space_group_IT_number 1
_space_group_name_Hall 'P 1'
loop_
_atom_site_label
_atom_site_fract_x
_atom_site_fract_y
_atom_site_fract_z
_atom_site_occupancy
Ca1 0.000 0.500 0.500 1
Dy1 0.000 0.000 0.000 1
S1 0.500 0.752 0.755 1
S2 0.000 0.750 0.246 1
Tb1 0.500 0.500 0.000 1
Ca2 0.500 0.000 0.500 1
S3 0.500 0.248 0.245 1
S4 0.000 0.250 0.754 1
```